Material: TaNi2F
Method: DFT, PBE with a Hubbard U
State: relaxed

Unit cell a=4.1447 b=4.1447 c=4.1447 alpha=60.00 beta=60.00 gamma=60.00
Last column: nearest neighbours and their distance in Å.
Positions (direct):
Ta: 0.0000 0.0000 0.0000  8 Ni 2.54
Ni: 0.2500 0.2500 0.2500  4 Ta 2.54, 4 F 2.54
Ni: 0.7500 0.7500 0.7500  4 Ta 2.54, 4 F 2.54
F: 0.5000 0.5000 0.5000  8 Ni 2.54

## Properties
mass density	10.466	g/cm³
offset from the most stable computed form	316	meV/atom
energy	-3.987	eV/atom